No. 1
A relaxed structure of Na2SmMoO4. Source: Alexandria, functional PBE+U.

- Final energy: -51.54 eV for the cell shown
- Space group: P2/m

Cell: 5.774 3.416 5.910 Å, 90.00 109.20 90.00°
Positions (direct):
Na1 0.000 0.000 0.000
Na2 0.500 0.500 0.000
Sm1 0.000 0.500 0.500
Mo1 0.500 0.000 0.500
O1 0.251 0.000 0.718
O2 0.282 0.500 0.290
O3 0.718 0.500 0.710
O4 0.749 0.000 0.282

=====

No. 2
A relaxed structure of Na2SnMoO6. Source: Alexandria, functional PBE+U.

- Final energy: -60.00 eV for the cell shown
- Space group: P4mm

Cell: 5.626 5.626 4.057 Å, 90.00 90.00 90.00°
Positions (direct):
Na1 0.000 0.500 0.000
Na2 0.500 0.000 0.000
Sn1 0.000 0.000 0.554
Mo1 0.500 0.500 0.508
O1 0.000 0.000 0.057
O2 0.262 0.262 0.567
O3 0.262 0.738 0.567
O4 0.500 0.500 0.063
O5 0.738 0.262 0.567
O6 0.738 0.738 0.567

=====

No. 3
A relaxed structure of Na2SnMo2O6. Source: Alexandria, functional PBE+U.

- Final energy: -67.15 eV for the cell shown
- Space group: C2/m

Cell: 5.303 5.303 5.902 Å, 99.01 99.01 114.28°
Positions (direct):
Na1 0.183 0.817 0.000
Na2 0.817 0.183 0.000
Sn1 0.000 0.000 0.500
Mo1 0.361 0.639 0.500
Mo2 0.639 0.361 0.500
O1 0.054 0.399 0.689
O2 0.229 0.229 0.277
O3 0.399 0.054 0.689
O4 0.601 0.946 0.311
O5 0.771 0.771 0.723
O6 0.946 0.601 0.311

=====

No. 4
A relaxed structure of Na3SnMo2O6. Source: Alexandria, functional PBE+U.

- Final energy: -71.02 eV for the cell shown
- Space group: C2/m

Cell: 5.772 5.772 5.773 Å, 99.61 99.61 120.01°
Positions (direct):
Na1 0.000 0.000 0.000
Na2 0.333 0.667 0.000
Na3 0.667 0.333 0.000
Sn1 0.500 0.500 0.500
Mo1 0.167 0.833 0.500
Mo2 0.833 0.167 0.500
O1 0.082 0.431 0.293
O2 0.221 0.221 0.709
O3 0.431 0.082 0.293
O4 0.569 0.918 0.707
O5 0.779 0.779 0.291
O6 0.918 0.569 0.707

=====

No. 5
A relaxed structure of NaSr2MoO4. Source: Alexandria, functional PBE+U.

- Final energy: -48.32 eV for the cell shown
- Space group: P2/m

Cell: 5.843 3.501 6.021 Å, 90.00 109.15 90.00°
Positions (direct):
Na1 0.000 0.000 0.000
Sr1 0.500 0.000 0.500
Sr2 0.500 0.500 0.000
Mo1 0.000 0.500 0.500
O1 0.214 0.000 0.721
O2 0.231 0.500 0.269
O3 0.769 0.500 0.731
O4 0.786 0.000 0.279

=====

No. 6
A relaxed structure of Na2Sr3MoO6. Source: Alexandria, functional PBE+U.

- Final energy: -70.33 eV for the cell shown
- Space group: C2/m

Cell: 6.123 6.123 5.873 Å, 100.39 100.39 119.76°
Positions (direct):
Na1 0.167 0.833 0.000
Na2 0.833 0.167 0.000
Sr1 0.000 0.000 0.500
Sr2 0.327 0.673 0.500
Sr3 0.673 0.327 0.500
Mo1 0.500 0.500 0.000
O1 0.132 0.427 0.771
O2 0.294 0.294 0.219
O3 0.427 0.132 0.771
O4 0.573 0.868 0.229
O5 0.706 0.706 0.781
O6 0.868 0.573 0.229

=====

No. 7
A relaxed structure of NaSrMoO4. Source: Alexandria, functional PBE+U.

- Final energy: -87.82 eV for the cell shown
- Space group: P2_1/m

Cell: 6.097 7.407 6.427 Å, 90.00 117.94 90.00°
Positions (direct):
Na1 0.169 0.250 0.482
Na2 0.831 0.750 0.518
Sr1 0.156 0.750 0.137
Sr2 0.844 0.250 0.863
Mo1 0.464 0.250 0.182
Mo2 0.536 0.750 0.818
O1 0.227 0.750 0.556
O2 0.245 0.074 0.198
O3 0.245 0.426 0.198
O4 0.433 0.250 0.884
O5 0.567 0.750 0.116
O6 0.755 0.574 0.802
O7 0.755 0.926 0.802
O8 0.773 0.250 0.444

=====

No. 8
A relaxed structure of NaSrMo2O8. Source: Alexandria, functional PBE+U.

- Final energy: -78.51 eV for the cell shown
- Space group: I-4m2

Cell: 6.471 6.471 6.471 Å, 106.81 106.81 114.93°
Positions (direct):
Na1 0.000 0.000 0.000
Sr1 0.250 0.750 0.500
Mo1 0.500 0.500 0.000
Mo2 0.750 0.250 0.500
O1 0.347 0.160 0.813
O2 0.347 0.535 0.187
O3 0.407 0.092 0.315
O4 0.465 0.653 0.813
O5 0.777 0.092 0.685
O6 0.840 0.653 0.187
O7 0.908 0.223 0.315
O8 0.908 0.593 0.685

=====

No. 9
A relaxed structure of NaSr2MoO. Source: Alexandria, functional PBE+U.

- Final energy: -19.20 eV for the cell shown
- Space group: P4/mmm

Cell: 5.575 5.575 4.428 Å, 90.00 90.00 90.00°
Positions (direct):
Na1 0.000 0.000 0.000
Sr1 0.000 0.500 0.500
Sr2 0.500 0.000 0.500
Mo1 0.500 0.500 0.000
O1 0.500 0.500 0.500

=====

No. 10
A relaxed structure of Na3TaMo2O6. Source: Alexandria, functional PBE+U.

- Final energy: -79.43 eV for the cell shown
- Space group: C2/m

Cell: 5.245 5.245 6.022 Å, 98.20 98.20 120.02°
Positions (direct):
Na1 0.000 0.000 0.000
Na2 0.324 0.676 0.000
Na3 0.676 0.324 0.000
Ta1 0.500 0.500 0.500
Mo1 0.138 0.862 0.500
Mo2 0.862 0.138 0.500
O1 0.117 0.447 0.291
O2 0.276 0.276 0.751
O3 0.447 0.117 0.291
O4 0.553 0.883 0.709
O5 0.724 0.724 0.249
O6 0.883 0.553 0.709

=====

No. 11
A relaxed structure of Na2TaMo2O6. Source: Alexandria, functional PBE+U.

- Final energy: -78.58 eV for the cell shown
- Space group: C2/m

Cell: 5.305 5.305 5.974 Å, 98.74 98.74 117.63°
Positions (direct):
Na1 0.179 0.821 0.000
Na2 0.821 0.179 0.000
Ta1 0.000 0.000 0.500
Mo1 0.356 0.644 0.500
Mo2 0.644 0.356 0.500
O1 0.046 0.379 0.692
O2 0.222 0.222 0.272
O3 0.379 0.046 0.692
O4 0.621 0.954 0.308
O5 0.778 0.778 0.728
O6 0.954 0.621 0.308

=====

No. 12
A relaxed structure of Na2TbMoO6. Source: Alexandria, functional PBE+U.

- Final energy: -128.29 eV for the cell shown
- Space group: P2_1/c

Cell: 5.701 5.845 9.939 Å, 90.00 124.88 90.00°
Positions (direct):
Na1 0.244 0.034 0.253
Na2 0.244 0.466 0.753
Na3 0.756 0.534 0.247
Na4 0.756 0.966 0.747
Tb1 0.500 0.000 0.000
Tb2 0.500 0.500 0.500
Mo1 0.000 0.000 0.500
Mo2 0.000 0.500 0.000
O1 0.135 0.229 0.950
O2 0.135 0.271 0.450
O3 0.230 0.689 0.958
O4 0.230 0.811 0.458
O5 0.317 0.028 0.729
O6 0.317 0.472 0.229
O7 0.683 0.528 0.771
O8 0.683 0.972 0.271
O9 0.770 0.189 0.542
O10 0.770 0.311 0.042
O11 0.865 0.729 0.550
O12 0.865 0.771 0.050

=====

Question: Which of these has the lowest final energy?
Answer: Na2TbMoO6

=====

Copy entry 3 word for word.
A relaxed structure of Na2SnMo2O6. Source: Alexandria, functional PBE+U.

- Final energy: -67.15 eV for the cell shown
- Space group: C2/m

Cell: 5.303 5.303 5.902 Å, 99.01 99.01 114.28°
Positions (direct):
Na1 0.183 0.817 0.000
Na2 0.817 0.183 0.000
Sn1 0.000 0.000 0.500
Mo1 0.361 0.639 0.500
Mo2 0.639 0.361 0.500
O1 0.054 0.399 0.689
O2 0.229 0.229 0.277
O3 0.399 0.054 0.689
O4 0.601 0.946 0.311
O5 0.771 0.771 0.723
O6 0.946 0.601 0.311

=====

Question: Look up the final energy of the sixth one.
Answer: -70.33 eV for the cell shown

=====

Question: Which value of final energy does entry 10 give?
Answer: -79.43 eV for the cell shown